Tl3Mo2O8: relaxed, GGA+U.

```
Tl3Mo2O8
1.0
3.119 1.801 7.157
-3.119 1.801 7.157
0.000 -3.601 7.157
Tl Mo O
3 2 8
direct
0.000 0.000 0.000
0.189 0.189 0.189
0.811 0.811 0.811
0.394 0.394 0.394
0.606 0.606 0.606
0.260 0.260 0.739
0.260 0.739 0.260
0.261 0.740 0.740
0.311 0.311 0.311
0.689 0.689 0.689
0.739 0.260 0.260
0.740 0.261 0.740
0.740 0.740 0.261
```

Density of states at the Fermi level, states/eV per atom: 0.4933
Calculated volume, Å³/atom: 18.553
Electronic total energy, eV for the cell shown: -77.5
Polymorph energy (0 for the lowest one), meV/atom: 0